# Na2LaCrO4

Crystalline Na2LaCrO4 at its relaxed geometry (GGA+U, the Alexandria database).

```
data_Na2LaCrO4
_chemical_formula_sum 'Na2 La1 Cr1 O4'
_symmetry_space_group_name_H-M 'P 1'
_symmetry_Int_Tables_number 1
_cell_length_a 3.373
_cell_length_b 5.810
_cell_length_c 5.899
_cell_angle_alpha 109.89
_cell_angle_beta 90.00
_cell_angle_gamma 90.00
loop_
_symmetry_equiv_pos_as_xyz
'x,y,z'
loop_
_atom_site_label
_atom_site_fract_x
_atom_site_fract_y
_atom_site_fract_z
O1 0.000 0.222 0.788
La1 0.500 0.500 0.000
Na1 0.000 0.500 0.500
O2 0.500 0.792 0.796
Na2 0.500 0.000 0.500
Cr1 0.000 0.000 0.000
O3 0.500 0.208 0.204
O4 0.000 0.778 0.212
```

Values from the calculation:
- DOS at the Fermi energy: 0.00 states/eV per atom
- Space group: P2/m



# Na3La3CrO8

Crystalline Na3La3CrO8 at its relaxed geometry (GGA+U, the Alexandria database).

```
data_Na3La3CrO8
_chemical_formula_sum 'Na3 La3 Cr1 O8'
_symmetry_space_group_name_H-M 'P 1'
_symmetry_Int_Tables_number 1
_cell_length_a 7.040
_cell_length_b 7.026
_cell_length_c 6.887
_cell_angle_alpha 120.93
_cell_angle_beta 90.00
_cell_angle_gamma 120.07
loop_
_symmetry_equiv_pos_as_xyz
'x,y,z'
loop_
_atom_site_label
_atom_site_fract_x
_atom_site_fract_y
_atom_site_fract_z
O1 0.259 0.517 0.278
Na1 0.500 0.500 0.000
O2 0.218 0.012 0.305
Na2 0.000 0.500 0.000
O3 0.797 0.594 0.306
O4 0.741 0.483 0.722
Na3 0.000 0.000 0.000
O5 0.203 0.406 0.694
La1 0.500 0.500 0.500
Cr1 0.000 0.000 0.500
O6 0.782 0.988 0.695
La2 0.000 0.500 0.500
O7 0.794 0.012 0.305
O8 0.206 0.988 0.695
La3 0.500 0.000 0.500
```

Values from the calculation:
- DOS at the Fermi energy: 0.00 states/eV per atom
- Space group: C2/m



| no. | magnetic moment (μB per atom) | total energy (eV/cell) |
| --- | --- | --- |
| 1 | 0.37 | -52.018 |
| 2 | 0.00 | -101.400 |